# Na2CuSBr PBE-GGA relaxed
data_Na2CuSBr
_cell_length_a 5.445
_cell_length_b 5.445
_cell_length_c 4.230
_cell_angle_alpha 90.00
_cell_angle_beta 90.00
_cell_angle_gamma 90.00
_symmetry_space_group_name_H-M 'P 1'
_symmetry_Int_Tables_number 1
_symmetry_space_group_name_Hall 'P 1'
loop_
_atom_site_label
_atom_site_fract_x
_atom_site_fract_y
_atom_site_fract_z
Na1 0.000 0.500 0.000
Na2 0.500 0.000 0.000
Cu1 0.000 0.000 0.500
S1 0.000 0.000 0.000
Br1 0.500 0.500 0.500
# - formation energy (no corrections) (eV per atom) = -0.91

***

# Pr2Ni9Pt PBE-GGA relaxed
data_Pr2Ni9Pt
_cell_length_a 8.631
_cell_length_b 8.631
_cell_length_c 8.631
_cell_angle_alpha 33.38
_cell_angle_beta 33.38
_cell_angle_gamma 33.38
_symmetry_space_group_name_H-M 'P 1'
_symmetry_Int_Tables_number 1
_symmetry_space_group_name_Hall 'P 1'
loop_
_atom_site_label
_atom_site_fract_x
_atom_site_fract_y
_atom_site_fract_z
Pr1 0.132 0.132 0.132
Pr2 0.868 0.868 0.868
Ni1 0.080 0.578 0.578
Ni2 0.333 0.333 0.333
Ni3 0.422 0.422 0.920
Ni4 0.422 0.920 0.422
Ni5 0.500 0.500 0.500
Ni6 0.578 0.080 0.578
Ni7 0.578 0.578 0.080
Ni8 0.667 0.667 0.667
Ni9 0.920 0.422 0.422
Pt1 0.000 0.000 0.000
# - ΔH_f (0 K) (kJ/mol of atoms) = -9.7

***

# K14Ho2O9 PBE-GGA relaxed
data_K14Ho2O9
_cell_length_a 7.849
_cell_length_b 7.849
_cell_length_c 10.983
_cell_angle_alpha 90.00
_cell_angle_beta 90.00
_cell_angle_gamma 120.00
_symmetry_space_group_name_H-M 'P 1'
_symmetry_Int_Tables_number 1
_symmetry_space_group_name_Hall 'P 1'
loop_
_atom_site_label
_atom_site_fract_x
_atom_site_fract_y
_atom_site_fract_z
K1 0.000 0.000 0.248
K2 0.000 0.000 0.752
K3 0.047 0.681 0.909
K4 0.098 0.386 0.592
K5 0.288 0.902 0.592
K6 0.319 0.367 0.909
K7 0.367 0.047 0.091
K8 0.386 0.288 0.408
K9 0.614 0.712 0.592
K10 0.633 0.953 0.909
K11 0.681 0.633 0.091
K12 0.712 0.098 0.408
K13 0.902 0.614 0.408
K14 0.953 0.319 0.091
Ho1 0.333 0.667 0.273
Ho2 0.667 0.333 0.727
O1 0.000 0.000 0.000
O2 0.109 0.380 0.341
O3 0.271 0.891 0.341
O4 0.333 0.667 0.076
O5 0.380 0.271 0.659
O6 0.620 0.729 0.341
O7 0.667 0.333 0.924
O8 0.729 0.109 0.659
O9 0.891 0.620 0.659
# - formation energy (no corrections) (eV per atom) = -1.44

***

# DyPa2GeN5 PBE-GGA relaxed
data_DyPa2GeN5
_cell_length_a 8.066
_cell_length_b 8.066
_cell_length_c 9.591
_cell_angle_alpha 90.00
_cell_angle_beta 90.00
_cell_angle_gamma 156.44
_symmetry_space_group_name_H-M 'P 1'
_symmetry_Int_Tables_number 1
_symmetry_space_group_name_Hall 'P 1'
loop_
_atom_site_label
_atom_site_fract_x
_atom_site_fract_y
_atom_site_fract_z
Dy1 0.215 0.785 0.500
Dy2 0.785 0.215 0.000
Pa1 0.101 0.899 0.171
Pa2 0.116 0.884 0.801
Pa3 0.884 0.116 0.301
Pa4 0.899 0.101 0.671
Ge1 0.449 0.551 0.949
Ge2 0.551 0.449 0.449
N1 0.037 0.963 0.548
N2 0.312 0.688 0.180
N3 0.342 0.658 0.850
N4 0.362 0.638 0.503
N5 0.493 0.507 0.278
N6 0.507 0.493 0.778
N7 0.638 0.362 0.003
N8 0.658 0.342 0.350
N9 0.688 0.312 0.680
N10 0.963 0.037 0.048
# - formation energy (no corrections) (eV per atom) = -1.04

***

# Li2InMo PBE-GGA relaxed
data_Li2InMo
_cell_length_a 2.892
_cell_length_b 2.892
_cell_length_c 8.012
_cell_angle_alpha 90.00
_cell_angle_beta 90.00
_cell_angle_gamma 90.00
_symmetry_space_group_name_H-M 'P 1'
_symmetry_Int_Tables_number 1
_symmetry_space_group_name_Hall 'P 1'
loop_
_atom_site_label
_atom_site_fract_x
_atom_site_fract_y
_atom_site_fract_z
Li1 0.000 0.000 0.000
Li2 0.500 0.500 0.236
In1 0.500 0.500 0.748
Mo1 0.000 0.000 0.476
# - ΔH_f (0 K) (kJ/mol of atoms) = 19.6

***

# GeP2PtO PBE-GGA relaxed
data_GeP2PtO
_cell_length_a 4.861
_cell_length_b 4.861
_cell_length_c 3.795
_cell_angle_alpha 90.00
_cell_angle_beta 90.00
_cell_angle_gamma 90.00
_symmetry_space_group_name_H-M 'P 1'
_symmetry_Int_Tables_number 1
_symmetry_space_group_name_Hall 'P 1'
loop_
_atom_site_label
_atom_site_fract_x
_atom_site_fract_y
_atom_site_fract_z
Ge1 0.000 0.000 0.000
P1 0.000 0.500 0.500
P2 0.500 0.000 0.500
Pt1 0.500 0.500 0.500
O1 0.500 0.500 0.000
# - relative energy among the computed polymorphs (eV/atom) = 0.085
# - formation energy (no corrections) (eV per atom) = 0.46

***

# Rb3NaHg2F8 PBE-GGA relaxed
data_Rb3NaHg2F8
_cell_length_a 6.308
_cell_length_b 6.308
_cell_length_c 8.407
_cell_angle_alpha 90.00
_cell_angle_beta 90.00
_cell_angle_gamma 120.00
_symmetry_space_group_name_H-M 'P 1'
_symmetry_Int_Tables_number 1
_symmetry_space_group_name_Hall 'P 1'
loop_
_atom_site_label
_atom_site_fract_x
_atom_site_fract_y
_atom_site_fract_z
Rb1 0.000 0.000 0.000
Rb2 0.333 0.667 0.610
Rb3 0.667 0.333 0.390
Na1 0.000 0.000 0.500
Hg1 0.333 0.667 0.180
Hg2 0.667 0.333 0.820
F1 0.164 0.329 0.329
F2 0.164 0.836 0.329
F3 0.329 0.164 0.671
F4 0.333 0.667 0.928
F5 0.667 0.333 0.072
F6 0.671 0.836 0.329
F7 0.836 0.164 0.671
F8 0.836 0.671 0.671
# - formation energy (no corrections) (eV per atom) = -2.13

***

# Ce2PaSi PBE-GGA relaxed
data_Ce2PaSi
_cell_length_a 5.107
_cell_length_b 5.107
_cell_length_c 5.107
_cell_angle_alpha 60.00
_cell_angle_beta 60.00
_cell_angle_gamma 60.00
_symmetry_space_group_name_H-M 'P 1'
_symmetry_Int_Tables_number 1
_symmetry_space_group_name_Hall 'P 1'
loop_
_atom_site_label
_atom_site_fract_x
_atom_site_fract_y
_atom_site_fract_z
Ce1 0.250 0.250 0.250
Ce2 0.750 0.750 0.750
Pa1 0.000 0.000 0.000
Si1 0.500 0.500 0.500
# - relative energy among the computed polymorphs (eV/atom) = 0.283
# - formation energy (no corrections) (eV per atom) = 0.02

***

# Ce2NbGe3 PBE-GGA relaxed
data_Ce2NbGe3
_cell_length_a 7.510
_cell_length_b 7.510
_cell_length_c 5.361
_cell_angle_alpha 90.00
_cell_angle_beta 90.00
_cell_angle_gamma 68.91
_symmetry_space_group_name_H-M 'P 1'
_symmetry_Int_Tables_number 1
_symmetry_space_group_name_Hall 'P 1'
loop_
_atom_site_label
_atom_site_fract_x
_atom_site_fract_y
_atom_site_fract_z
Ce1 0.042 0.682 0.750
Ce2 0.318 0.958 0.750
Ce3 0.682 0.042 0.250
Ce4 0.958 0.318 0.250
Nb1 0.419 0.581 0.250
Nb2 0.581 0.419 0.750
Ge1 0.120 0.880 0.250
Ge2 0.320 0.320 0.000
Ge3 0.320 0.320 0.500
Ge4 0.680 0.680 0.000
Ge5 0.680 0.680 0.500
Ge6 0.880 0.120 0.750
# - ΔH_f (0 K) (kJ/mol of atoms) = -50.3

***

# Nb2VGa4 PBE-GGA relaxed
data_Nb2VGa4
_cell_length_a 7.312
_cell_length_b 7.312
_cell_length_c 7.312
_cell_angle_alpha 142.76
_cell_angle_beta 142.76
_cell_angle_gamma 53.69
_symmetry_space_group_name_H-M 'P 1'
_symmetry_Int_Tables_number 1
_symmetry_space_group_name_Hall 'P 1'
loop_
_atom_site_label
_atom_site_fract_x
_atom_site_fract_y
_atom_site_fract_z
Nb1 0.104 0.104 0.000
Nb2 0.896 0.896 0.000
V1 0.500 0.500 0.000
Ga1 0.000 0.500 0.500
Ga2 0.310 0.310 0.000
Ga3 0.500 0.000 0.500
Ga4 0.690 0.690 0.000
# - ΔH_f (0 K) (kJ/mol of atoms) = 40.8

***

A relaxed LuH9C5N2O8 crystal. Source: Alexandria via LeMat-Bulk, functional PBE-GGA.

Structure (CIF):
```
data_LuH9C5N2O8
_cell_length_a 6.657
_cell_length_b 6.657
_cell_length_c 6.536
_cell_angle_alpha 106.40
_cell_angle_beta 106.40
_cell_angle_gamma 65.59
_symmetry_space_group_name_H-M 'P 1'
_symmetry_Int_Tables_number 1
_symmetry_space_group_name_Hall 'P 1'
loop_
_atom_site_label
_atom_site_fract_x
_atom_site_fract_y
_atom_site_fract_z
Lu1 0.000 0.000 0.000
H1 0.168 0.469 0.124
H2 0.267 0.490 0.539
H3 0.360 0.203 0.408
H4 0.510 0.733 0.461
H5 0.531 0.832 0.876
H6 0.545 0.443 0.829
H7 0.557 0.455 0.171
H8 0.797 0.640 0.592
H9 0.916 0.084 0.500
C1 0.056 0.473 0.963
C2 0.069 0.931 0.500
C3 0.527 0.944 0.037
C4 0.540 0.290 0.709
C5 0.710 0.460 0.291
N1 0.375 0.328 0.539
N2 0.672 0.625 0.461
O1 0.004 0.644 0.880
O2 0.145 0.844 0.669
O3 0.156 0.855 0.331
O4 0.356 0.996 0.120
O5 0.682 0.100 0.739
O6 0.688 0.012 0.126
O7 0.900 0.318 0.261
O8 0.988 0.312 0.874
```

***

# AlCrRu2 PBE-GGA relaxed
data_AlCrRu2
_cell_length_a 4.497
_cell_length_b 4.497
_cell_length_c 4.725
_cell_angle_alpha 102.52
_cell_angle_beta 102.52
_cell_angle_gamma 36.25
_symmetry_space_group_name_H-M 'P 1'
_symmetry_Int_Tables_number 1
_symmetry_space_group_name_Hall 'P 1'
loop_
_atom_site_label
_atom_site_fract_x
_atom_site_fract_y
_atom_site_fract_z
Al1 0.000 0.000 0.000
Cr1 0.500 0.500 0.500
Ru1 0.244 0.244 0.745
Ru2 0.756 0.756 0.255
# - ΔH_f (0 K) (kJ/mol of atoms) = -11.5

***

# TaSnPtBr2 PBE-GGA relaxed
data_TaSnPtBr2
_cell_length_a 5.024
_cell_length_b 5.024
_cell_length_c 5.390
_cell_angle_alpha 90.00
_cell_angle_beta 90.00
_cell_angle_gamma 90.00
_symmetry_space_group_name_H-M 'P 1'
_symmetry_Int_Tables_number 1
_symmetry_space_group_name_Hall 'P 1'
loop_
_atom_site_label
_atom_site_fract_x
_atom_site_fract_y
_atom_site_fract_z
Ta1 0.000 0.000 0.000
Sn1 0.500 0.500 0.000
Pt1 0.500 0.500 0.500
Br1 0.000 0.500 0.500
Br2 0.500 0.000 0.500
# - formation energy (no corrections) (eV per atom) = 1.05

***

# Zr2Te2Cl PBE-GGA relaxed
data_Zr2Te2Cl
_cell_length_a 8.082
_cell_length_b 8.082
_cell_length_c 3.714
_cell_angle_alpha 90.00
_cell_angle_beta 90.00
_cell_angle_gamma 90.00
_symmetry_space_group_name_H-M 'P 1'
_symmetry_Int_Tables_number 1
_symmetry_space_group_name_Hall 'P 1'
loop_
_atom_site_label
_atom_site_fract_x
_atom_site_fract_y
_atom_site_fract_z
Zr1 0.138 0.362 0.000
Zr2 0.362 0.862 0.000
Zr3 0.638 0.138 0.000
Zr4 0.862 0.638 0.000
Te1 0.149 0.649 0.500
Te2 0.351 0.149 0.500
Te3 0.649 0.851 0.500
Te4 0.851 0.351 0.500
Cl1 0.000 0.000 0.000
Cl2 0.500 0.500 0.000
# - formation energy (no corrections) (eV per atom) = -0.88

***

# Li2NpCl6 PBE-GGA relaxed
data_Li2NpCl6
_cell_length_a 6.232
_cell_length_b 6.232
_cell_length_c 11.582
_cell_angle_alpha 90.00
_cell_angle_beta 90.00
_cell_angle_gamma 90.00
_symmetry_space_group_name_H-M 'P 1'
_symmetry_Int_Tables_number 1
_symmetry_space_group_name_Hall 'P 1'
loop_
_atom_site_label
_atom_site_fract_x
_atom_site_fract_y
_atom_site_fract_z
Li1 0.000 0.000 0.166
Li2 0.000 0.000 0.834
Li3 0.500 0.500 0.334
Li4 0.500 0.500 0.666
Np1 0.000 0.000 0.500
Np2 0.500 0.500 0.000
Cl1 0.198 0.198 0.332
Cl2 0.198 0.198 0.668
Cl3 0.200 0.200 0.000
Cl4 0.300 0.700 0.500
Cl5 0.302 0.698 0.168
Cl6 0.302 0.698 0.832
Cl7 0.698 0.302 0.168
Cl8 0.698 0.302 0.832
Cl9 0.700 0.300 0.500
Cl10 0.800 0.800 0.000
Cl11 0.802 0.802 0.332
Cl12 0.802 0.802 0.668
# - formation energy (no corrections) (eV per atom) = -1.70

***

# Mn2ZnHPd PBE-GGA relaxed
data_Mn2ZnHPd
_cell_length_a 3.741
_cell_length_b 3.741
_cell_length_c 4.173
_cell_angle_alpha 90.00
_cell_angle_beta 90.00
_cell_angle_gamma 90.00
_symmetry_space_group_name_H-M 'P 1'
_symmetry_Int_Tables_number 1
_symmetry_space_group_name_Hall 'P 1'
loop_
_atom_site_label
_atom_site_fract_x
_atom_site_fract_y
_atom_site_fract_z
Mn1 0.000 0.500 0.000
Mn2 0.500 0.000 0.000
Zn1 0.000 0.000 0.500
H1 0.000 0.000 0.000
Pd1 0.500 0.500 0.500
# - relative energy among the computed polymorphs (eV/atom) = 0.046

***

# CrCdFe2 PBE-GGA relaxed
data_CrCdFe2
_cell_length_a 4.810
_cell_length_b 2.561
_cell_length_c 4.873
_cell_angle_alpha 90.00
_cell_angle_beta 113.01
_cell_angle_gamma 90.00
_symmetry_space_group_name_H-M 'P 1'
_symmetry_Int_Tables_number 1
_symmetry_space_group_name_Hall 'P 1'
loop_
_atom_site_label
_atom_site_fract_x
_atom_site_fract_y
_atom_site_fract_z
Cr1 0.000 0.000 0.000
Cd1 0.000 0.500 0.500
Fe1 0.500 0.000 0.500
Fe2 0.500 0.500 0.000
# - ΔH_f (0 K) (kJ/mol of atoms) = 53.0

***

# Pr2YTmS5 PBE-GGA relaxed
data_Pr2YTmS5
_cell_length_a 4.841
_cell_length_b 4.841
_cell_length_c 10.259
_cell_angle_alpha 90.00
_cell_angle_beta 90.00
_cell_angle_gamma 90.00
_symmetry_space_group_name_H-M 'P 1'
_symmetry_Int_Tables_number 1
_symmetry_space_group_name_Hall 'P 1'
loop_
_atom_site_label
_atom_site_fract_x
_atom_site_fract_y
_atom_site_fract_z
Pr1 0.000 0.000 0.206
Pr2 0.000 0.000 0.794
Y1 0.500 0.500 0.500
Tm1 0.500 0.500 0.000
S1 0.000 0.000 0.500
S2 0.000 0.500 0.000
S3 0.500 0.000 0.000
S4 0.500 0.500 0.254
S5 0.500 0.500 0.746
# - formation energy (no corrections) (eV per atom) = -1.53

***

# Pm2PaSe3 PBE-GGA relaxed
data_Pm2PaSe3
_cell_length_a 7.142
_cell_length_b 7.142
_cell_length_c 7.276
_cell_angle_alpha 99.43
_cell_angle_beta 99.43
_cell_angle_gamma 120.00
_symmetry_space_group_name_H-M 'P 1'
_symmetry_Int_Tables_number 1
_symmetry_space_group_name_Hall 'P 1'
loop_
_atom_site_label
_atom_site_fract_x
_atom_site_fract_y
_atom_site_fract_z
Pm1 0.000 0.000 0.000
Pm2 0.161 0.839 0.500
Pm3 0.500 0.500 0.500
Pm4 0.839 0.161 0.500
Pa1 0.333 0.667 0.000
Pa2 0.667 0.333 0.000
Se1 0.083 0.421 0.248
Se2 0.258 0.258 0.758
Se3 0.421 0.083 0.248
Se4 0.579 0.917 0.752
Se5 0.742 0.742 0.242
Se6 0.917 0.579 0.752
# - formation energy (no corrections) (eV per atom) = -1.60

***

# K2Al PBE-GGA relaxed
data_K2Al
_cell_length_a 6.194
_cell_length_b 6.194
_cell_length_c 3.458
_cell_angle_alpha 90.00
_cell_angle_beta 90.00
_cell_angle_gamma 120.00
_symmetry_space_group_name_H-M 'P 1'
_symmetry_Int_Tables_number 1
_symmetry_space_group_name_Hall 'P 1'
loop_
_atom_site_label
_atom_site_fract_x
_atom_site_fract_y
_atom_site_fract_z
K1 0.333 0.667 0.378
K2 0.667 0.333 0.622
Al1 0.000 0.000 0.000
# - ΔH_f (0 K) (kJ/mol of atoms) = 35.5
# - relative energy among the computed polymorphs (eV/atom) = 0.230

***

no.,E_tot (eV/atom)
1,-3.412
2,-5.736
3,-4.205
4,-8.798
5,-4.146
6,-4.831
7,-3.547
8,-6.680
9,-6.486
10,-5.487
11,-6.503
12,-8.098
13,-3.999
14,-5.925
15,-4.798
16,-5.657
17,-6.317
18,-6.098
19,-6.508
20,-1.611